# 1
CaZn2Cu GGA-PBEsol relaxed; V = 17.588 A^3/atom; calculated density = 5.53 Mg/m³; total energy = -2.215 eV/atom
1.0
2.904 -0.047 0.000
-1.177 5.226 0.000
-0.864 -2.589 4.653
Ca Cu Zn
1 1 2
direct
0.000 0.500 0.000
0.500 0.000 0.000
0.500 0.500 0.500
0.000 0.000 0.500

# 2
ReAs2Pt GGA-PBEsol relaxed; V = 15.073 A^3/atom; calculated density = 14.63 Mg/m³; total energy = -7.392 eV/atom
1.0
-2.861 0.312 1.513
-1.295 -3.749 -1.675
1.584 -2.076 3.423
Re As Pt
1 2 1
direct
0.500 0.000 0.000
0.000 0.000 0.500
0.000 0.500 0.000
0.500 0.500 0.500

no.,D(E_F) (states/eV/cell)
1,1.87
2,2.93